Material: VPH5O7
Method: DFT, GGA-PBEsol
State: optimized geometry

crystal system	monoclinic
E	-0.480	Ry per atom

abc: 7.2104 7.4904 9.4215
angles: 98.29 90.00 90.00
Last column: magnetic moment on the atom in μB.
Atoms (fractional coordinates):
1 H 0.2298 0.9886 0.5902  0.00
2 H 0.5172 0.8382 0.1845  0.00
3 H 0.4743 0.1356 0.2570  0.00
4 H 0.4933 0.3216 0.9519  0.00
5 H 0.7298 0.0114 0.9098  0.00
6 H 0.5257 0.8644 0.7430  0.00
7 H 0.5067 0.6784 0.0481  0.00
8 H 0.0257 0.1356 0.7570  0.00
9 H 0.3408 0.0050 0.3265  0.00
10 H 0.9828 0.8382 0.6845  0.00
11 H 0.1592 0.0050 0.8265  0.00
12 H 0.4828 0.1618 0.8155  0.00
13 H 0.7702 0.0114 0.4098  0.00
14 H 0.8408 0.9950 0.1735  0.00
15 H 0.0067 0.3216 0.4519  0.00
16 H 0.9743 0.8644 0.2430  0.00
17 H 0.9933 0.6784 0.5481  0.00
18 H 0.2702 0.9886 0.0902  0.00
19 H 0.6592 0.9950 0.6735  0.00
20 H 0.0172 0.1618 0.3155  0.00
21 O 0.9195 0.7239 0.6368  -0.01
22 O 0.8740 0.2969 0.8408  0.00
23 O 0.1260 0.7031 0.1592  0.00
24 O 0.8021 0.0666 0.9991  0.00
25 O 0.8266 0.3811 0.5619  0.01
26 O 0.1457 0.4406 0.7111  -0.09
27 O 0.0805 0.2761 0.3632  -0.01
28 O 0.3979 0.0229 0.2332  0.00
29 O 0.1734 0.6189 0.4381  0.01
30 O 0.5805 0.7239 0.1368  -0.01
31 O 0.3021 0.9334 0.5009  0.00
32 O 0.6260 0.2969 0.3408  0.00
33 O 0.3266 0.6189 0.9381  0.01
34 O 0.3543 0.4406 0.2111  -0.09
35 O 0.0188 0.3181 0.0889  0.01
36 O 0.4195 0.2761 0.8632  -0.01
37 O 0.6979 0.0666 0.4991  0.00
38 O 0.9812 0.6819 0.9111  0.01
39 O 0.4812 0.3181 0.5889  0.01
40 O 0.3740 0.7031 0.6592  0.00
41 O 0.6457 0.5594 0.7889  -0.09
42 O 0.6021 0.9771 0.7668  0.00
43 O 0.6734 0.3811 0.0619  0.01
44 O 0.1979 0.9334 0.0009  0.00
45 O 0.5188 0.6819 0.4111  0.01
46 O 0.8543 0.5594 0.2889  -0.09
47 O 0.8979 0.9771 0.2668  0.00
48 O 0.1021 0.0229 0.7332  0.00
49 V 0.8664 0.5262 0.7525  0.99
50 V 0.6336 0.5262 0.2525  0.99
51 V 0.3664 0.4738 0.7475  0.99
52 V 0.1336 0.4738 0.2475  0.99
53 P 0.3454 0.7251 0.5005  0.01
54 P 0.1546 0.7251 0.0005  0.01
55 P 0.8454 0.2749 0.9995  0.01
56 P 0.6546 0.2749 0.4995  0.01